Computed, not measured: crystalline Cs2CoTeF6 at its relaxed geometry at the PBE with a Hubbard U level of DFT.

```
10
Lattice="-3.399 3.399 4.373 3.399 -3.399 4.373 3.399 3.399 -4.373" Properties=species:S:1:pos:R:3 pbc="T T T"
Cs 3.399 0.000 2.187
Cs 0.000 3.399 2.187
Co 0.000 0.000 0.000
Te 0.000 0.000 4.373
F 1.420 1.420 0.000
F 1.979 -1.979 4.373
F 0.000 0.000 2.278
F 0.000 0.000 6.468
F -1.979 1.979 4.373
F 1.979 1.979 4.373
```

Values from the calculation:
Fermi-level density of states   0.00 states/eV per cell
Final energy   -4.21 eV per atom
V   202.11 Å³/cell